(1)
DFT (GGA-PBE) results for Cu2Pd8Au after structural relaxation.

## Properties
ΔE_f	35	meV per atom
D(E_F)	44.61	states/eV/cell
crystal system	orthorhombic

Structure (CIF):
```
data_Cu2Pd8Au
_cell_length_a 4.0805
_cell_length_b 6.9561
_cell_length_c 12.0946
_cell_angle_alpha 90.00
_cell_angle_beta 90.00
_cell_angle_gamma 90.00
_symmetry_space_group_name_H-M 'I m m m'
_symmetry_Int_Tables_number 71
_symmetry_space_group_name_Hall '-I 2 2'
loop_
_atom_site_label
_atom_site_fract_x
_atom_site_fract_y
_atom_site_fract_z
Cu1 0.0000 0.0000 0.1920
Pd1 0.0000 0.1962 0.0000
Pd2 0.0000 0.2807 0.3400
Pd3 0.0000 0.5000 0.1550
Au1 0.0000 0.0000 0.5000
```

***

(2)
DFT (GGA-PBE) results for CuPd2Au2 after structural relaxation.

## Properties
ΔE_f	139	meV per atom
D(E_F)	8.97	states/eV/cell
crystal system	tetragonal

Structure (CIF):
```
data_CuPd2Au2
_cell_length_a 6.6650
_cell_length_b 6.6650
_cell_length_c 3.8929
_cell_angle_alpha 90.00
_cell_angle_beta 90.00
_cell_angle_gamma 90.00
_symmetry_space_group_name_H-M 'P 4/m b m'
_symmetry_Int_Tables_number 127
_symmetry_space_group_name_Hall '-P 4 2ab'
loop_
_atom_site_label
_atom_site_fract_x
_atom_site_fract_y
_atom_site_fract_z
Cu1 0.0000 0.0000 0.0000
Pd1 0.1450 0.3550 0.0000
Au1 0.1576 0.6576 0.5000
```

***

(3)
DFT (GGA-PBE) results for Cu8Pd5Au after structural relaxation.

## Properties
ΔE_f	70	meV per atom
D(E_F)	7.49	states/eV/cell
crystal system	tetragonal

Structure (CIF):
```
data_Cu8Pd5Au
_cell_length_a 7.3570
_cell_length_b 7.3570
_cell_length_c 7.5418
_cell_angle_alpha 90.00
_cell_angle_beta 90.00
_cell_angle_gamma 90.00
_symmetry_space_group_name_H-M 'I -4'
_symmetry_Int_Tables_number 82
loop_
_symmetry_equiv_pos_as_xyz
'x,y,z'
'y,-x,-z'
'-x,-y,z'
'-y,x,-z'
'x+1/2,y+1/2,z+1/2'
'y+1/2,-x+1/2,-z+1/2'
'-x+1/2,-y+1/2,z+1/2'
'-y+1/2,x+1/2,-z+1/2'
loop_
_atom_site_label
_atom_site_fract_x
_atom_site_fract_y
_atom_site_fract_z
Cu1 0.0652 0.1600 0.1624
Cu2 0.1113 0.3278 0.5070
Pd1 0.0000 0.5000 0.2500
Pd2 0.1207 0.2921 0.8401
Au1 0.0000 0.0000 0.5000
```

***

(4)
DFT (GGA-PBE) results for CuPd7Au4 after structural relaxation.

## Properties
ΔE_f	148	meV per atom
D(E_F)	28.16	states/eV/cell
crystal system	monoclinic

Structure (CIF):
```
data_CuPd7Au4
_cell_length_a 9.8791
_cell_length_b 4.7958
_cell_length_c 10.0657
_cell_angle_alpha 90.00
_cell_angle_beta 118.56
_cell_angle_gamma 90.00
_symmetry_space_group_name_H-M 'C 1 2/m 1'
_symmetry_Int_Tables_number 12
loop_
_symmetry_equiv_pos_as_xyz
'x,y,z'
'-x,-y,-z'
'-x,y,-z'
'x,-y,z'
'x+1/2,y+1/2,z'
'-x+1/2,-y+1/2,-z'
'-x+1/2,y+1/2,-z'
'x+1/2,-y+1/2,z'
loop_
_atom_site_label
_atom_site_fract_x
_atom_site_fract_y
_atom_site_fract_z
Cu1 0.0000 0.0000 0.0000
Pd1 0.0000 0.5000 0.0000
Pd2 0.1176 0.0000 0.4635
Pd3 0.1552 0.5000 0.6185
Pd4 0.2245 0.5000 0.9208
Au1 0.0816 0.5000 0.3038
Au2 0.1774 0.0000 0.7731
```

***

(5)
DFT (GGA-PBE) results for Cu6Pd3Au after structural relaxation.

## Properties
ΔE_f	-95	meV per atom
D(E_F)	8.56	states/eV/cell
crystal system	monoclinic

Structure (CIF):
```
data_Cu6Pd3Au
_cell_length_a 8.2001
_cell_length_b 3.8953
_cell_length_c 8.5899
_cell_angle_alpha 90.00
_cell_angle_beta 93.48
_cell_angle_gamma 90.00
_symmetry_space_group_name_H-M 'P 1 21/m 1'
_symmetry_Int_Tables_number 11
loop_
_symmetry_equiv_pos_as_xyz
'x,y,z'
'-x,-y,-z'
'-x,y+1/2,-z'
'x,-y+1/2,z'
loop_
_atom_site_label
_atom_site_fract_x
_atom_site_fract_y
_atom_site_fract_z
Cu1 0.0501 0.2500 0.3982
Cu2 0.1452 0.7500 0.2007
Cu3 0.2457 0.2500 0.0006
Cu4 0.3467 0.2500 0.3015
Cu5 0.3509 0.7500 0.7910
Cu6 0.4501 0.2500 0.5927
Pd1 0.0522 0.7500 0.8990
Pd2 0.1522 0.2500 0.6957
Pd3 0.2522 0.7500 0.4901
Au1 0.4456 0.7500 0.1085
```

***

(6)
DFT (GGA-PBE) results for Cu4Pd10Au after structural relaxation.

## Properties
ΔE_f	261	meV per atom
D(E_F)	50.36	states/eV/cell
crystal system	tetragonal

Structure (CIF):
```
data_Cu4Pd10Au
_cell_length_a 8.5306
_cell_length_b 8.5306
_cell_length_c 6.9480
_cell_angle_alpha 90.00
_cell_angle_beta 90.00
_cell_angle_gamma 90.00
_symmetry_space_group_name_H-M 'I 4/m'
_symmetry_Int_Tables_number 87
_symmetry_space_group_name_Hall '-I 4'
loop_
_atom_site_label
_atom_site_fract_x
_atom_site_fract_y
_atom_site_fract_z
Cu1 0.1405 0.3381 0.0000
Pd1 0.0000 0.5000 0.2500
Pd2 0.0943 0.7972 0.1993
Au1 0.0000 0.0000 0.5000
```

***

(7)
DFT (GGA-PBE) results for Cu2Pd5Au4 after structural relaxation.

## Properties
ΔE_f	148	meV per atom
D(E_F)	15.25	states/eV/cell
crystal system	orthorhombic

Structure (CIF):
```
data_Cu2Pd5Au4
_cell_length_a 2.7700
_cell_length_b 7.2818
_cell_length_c 18.6086
_cell_angle_alpha 90.00
_cell_angle_beta 90.00
_cell_angle_gamma 90.00
_symmetry_space_group_name_H-M 'I m m m'
_symmetry_Int_Tables_number 71
_symmetry_space_group_name_Hall '-I 2 2'
loop_
_atom_site_label
_atom_site_fract_x
_atom_site_fract_y
_atom_site_fract_z
Cu1 0.0000 0.0000 0.0987
Pd1 0.0000 0.1985 0.3584
Pd2 0.0000 0.5000 0.0000
Au1 0.0000 0.0000 0.2331
Au2 0.0000 0.3127 0.5000
```

***

(8)
DFT (GGA-PBE) results for Cu6Pd3Au after structural relaxation.

## Properties
ΔE_f	30	meV per atom
D(E_F)	7.71	states/eV/cell
crystal system	monoclinic

Structure (CIF):
```
data_Cu6Pd3Au
_cell_length_a 10.4241
_cell_length_b 2.7128
_cell_length_c 10.8949
_cell_angle_alpha 90.00
_cell_angle_beta 113.10
_cell_angle_gamma 90.00
_symmetry_space_group_name_H-M 'P 1 21/m 1'
_symmetry_Int_Tables_number 11
loop_
_symmetry_equiv_pos_as_xyz
'x,y,z'
'-x,-y,-z'
'-x,y+1/2,-z'
'x,-y+1/2,z'
loop_
_atom_site_label
_atom_site_fract_x
_atom_site_fract_y
_atom_site_fract_z
Cu1 0.0028 0.2500 0.3872
Cu2 0.1034 0.7500 0.0527
Cu3 0.1532 0.7500 0.2944
Cu4 0.3004 0.2500 0.1829
Cu5 0.3319 0.2500 0.8085
Cu6 0.4873 0.2500 0.6924
Pd1 0.1103 0.2500 0.8518
Pd2 0.3770 0.2500 0.4341
Pd3 0.3936 0.7500 0.0306
Au1 0.2300 0.7500 0.5742
```

***

(9)
DFT (GGA-PBE) results for Cu4Pd3Au2 after structural relaxation.

## Properties
ΔE_f	-110	meV per atom
D(E_F)	5.96	states/eV/cell
crystal system	monoclinic

Structure (CIF):
```
data_Cu4Pd3Au2
_cell_length_a 8.3631
_cell_length_b 3.9803
_cell_length_c 8.1227
_cell_angle_alpha 90.00
_cell_angle_beta 104.40
_cell_angle_gamma 90.00
_symmetry_space_group_name_H-M 'C 1 2/m 1'
_symmetry_Int_Tables_number 12
loop_
_symmetry_equiv_pos_as_xyz
'x,y,z'
'-x,-y,-z'
'-x,y,-z'
'x,-y,z'
'x+1/2,y+1/2,z'
'-x+1/2,-y+1/2,-z'
'-x+1/2,y+1/2,-z'
'x+1/2,-y+1/2,z'
loop_
_atom_site_label
_atom_site_fract_x
_atom_site_fract_y
_atom_site_fract_z
Cu1 0.0032 0.0000 0.3379
Cu2 0.1651 0.5000 0.8891
Pd1 0.0000 0.0000 0.0000
Pd2 0.1645 0.5000 0.5631
Au1 0.1684 0.5000 0.2182
```

***

(10)
DFT (GGA-PBE) results for Cu4Pd7Au after structural relaxation.

## Properties
ΔE_f	230	meV per atom
D(E_F)	27.66	states/eV/cell
crystal system	monoclinic

Structure (CIF):
```
data_Cu4Pd7Au
_cell_length_a 10.1260
_cell_length_b 4.8785
_cell_length_c 9.1919
_cell_angle_alpha 90.00
_cell_angle_beta 121.25
_cell_angle_gamma 90.00
_symmetry_space_group_name_H-M 'C 1 2/m 1'
_symmetry_Int_Tables_number 12
loop_
_symmetry_equiv_pos_as_xyz
'x,y,z'
'-x,-y,-z'
'-x,y,-z'
'x,-y,z'
'x+1/2,y+1/2,z'
'-x+1/2,-y+1/2,-z'
'-x+1/2,y+1/2,-z'
'x+1/2,-y+1/2,z'
loop_
_atom_site_label
_atom_site_fract_x
_atom_site_fract_y
_atom_site_fract_z
Cu1 0.0637 0.0000 0.2643
Cu2 0.2215 0.0000 0.8158
Pd1 0.0000 0.0000 0.5000
Pd2 0.0416 0.5000 0.8789
Pd3 0.1603 0.0000 0.0589
Pd4 0.2131 0.5000 0.4200
Au1 0.0000 0.5000 0.5000
```

***

(11)
DFT (GGA-PBE) results for Cu4Pd4Au after structural relaxation.

## Properties
ΔE_f	97	meV per atom
D(E_F)	8.56	states/eV/cell
crystal system	tetragonal

Structure (CIF):
```
data_Cu4Pd4Au
_cell_length_a 5.4482
_cell_length_b 5.4482
_cell_length_c 9.1627
_cell_angle_alpha 90.00
_cell_angle_beta 90.00
_cell_angle_gamma 90.00
_symmetry_space_group_name_H-M 'P 42/n m c'
_symmetry_Int_Tables_number 137
loop_
_symmetry_equiv_pos_as_xyz
'x,y,z'
'-x,-y,-z'
'-y+1/2,x,z+1/2'
'y+1/2,-x,-z+1/2'
'-x+1/2,-y+1/2,z'
'x+1/2,y+1/2,-z'
'y,-x+1/2,z+1/2'
'-y,x+1/2,-z+1/2'
'x+1/2,-y,-z'
'-x+1/2,y,z'
'-y,-x,-z+1/2'
'y,x,z+1/2'
'-x,y+1/2,-z'
'x,-y+1/2,z'
'y+1/2,x+1/2,-z+1/2'
'-y+1/2,-x+1/2,z+1/2'
loop_
_atom_site_label
_atom_site_fract_x
_atom_site_fract_y
_atom_site_fract_z
Cu1 0.0343 0.2500 0.1936
Pd1 0.0032 0.2500 0.4800
Au1 0.2500 0.7500 0.2500
```

***

(12)
DFT (GGA-PBE) results for Cu2Pd2Au5 after structural relaxation.

## Properties
ΔE_f	-68	meV per atom
D(E_F)	2.92	states/eV/cell
crystal system	triclinic

Structure (CIF):
```
data_Cu2Pd2Au5
_cell_length_a 4.9465
_cell_length_b 4.9491
_cell_length_c 7.4498
_cell_angle_alpha 89.70
_cell_angle_beta 70.74
_cell_angle_gamma 60.14
_symmetry_space_group_name_H-M 'P -1'
_symmetry_Int_Tables_number 2
loop_
_symmetry_equiv_pos_as_xyz
'x,y,z'
'-x,-y,-z'
loop_
_atom_site_label
_atom_site_fract_x
_atom_site_fract_y
_atom_site_fract_z
Cu1 0.1622 0.1606 0.0002
Pd1 0.3809 0.7299 0.6740
Au1 0.0574 0.3933 0.6769
Au2 0.2837 0.9459 0.3240
Au3 0.5000 0.5000 0.0000
```